LaCrP | PBE-GGA | optimized geometry

Computed properties:
As for the formation energy: -0.180 eV per atom. The space group is F-43m (216). The calculation puts the magnetic moment at 4.00 μB per formula unit.

The structure in POSCAR format:
```
LaCrP
1.0
0.000 3.207 3.207
3.207 0.000 3.207
3.207 3.207 0.000
La Cr P
1 1 1
direct
0.000 0.000 0.000
0.250 0.250 0.250
0.500 0.500 0.500
```

---

Ba2Tl15Bi2 | PBE-GGA | optimized geometry

Computed properties:
As for the formation energy: -0.097 eV per atom. The space group is R-3m (166). The calculation puts the magnetic moment at 0.00 μB per formula unit.

The structure in POSCAR format:
```
Ba2Tl15Bi2
1.0
5.708 3.296 5.679
-5.708 3.296 5.679
0.000 -6.591 5.679
Ba Tl Bi
2 15 2
direct
0.170 0.170 0.170
0.830 0.830 0.830
0.000 0.500 0.500
0.148 0.148 0.656
0.148 0.656 0.148
0.204 0.500 0.796
0.204 0.796 0.500
0.344 0.852 0.852
0.500 0.000 0.500
0.500 0.204 0.796
0.500 0.500 0.000
0.500 0.796 0.204
0.656 0.148 0.148
0.796 0.204 0.500
0.796 0.500 0.204
0.852 0.344 0.852
0.852 0.852 0.344
0.401 0.401 0.401
0.599 0.599 0.599
```

---

MgIn2Ag5 | PBE-GGA | optimized geometry

Computed properties:
As for the formation energy: -0.047 eV per atom. The calculation puts the energy above the most stable polymorph in this dataset at 26 meV/atom. The space group is I4mm (107). The calculation puts the magnetic moment at 0.00 μB per formula unit.

The structure in POSCAR format:
```
MgIn2Ag5
1.0
-3.415 3.415 3.297
3.415 -3.415 3.297
3.415 3.415 -3.297
Mg In Ag
1 2 5
direct
0.000 0.000 0.000
0.001 0.501 0.500
0.501 0.001 0.500
0.001 0.001 0.501
0.001 0.500 0.000
0.500 0.001 0.000
0.500 0.500 0.499
0.501 0.501 0.000
```

---

BaCdNi2 | PBE-GGA | optimized geometry

Computed properties:
As for the formation energy: 0.557 eV per atom. The space group is F-43m (216). The calculation puts the magnetic moment at 0.63 μB per formula unit.

The structure in POSCAR format:
```
BaCdNi2
1.0
0.000 3.564 3.564
3.564 0.000 3.564
3.564 3.564 0.000
Ba Cd Ni
1 1 2
direct
0.000 0.000 0.000
0.250 0.250 0.250
0.500 0.500 0.500
0.750 0.750 0.750
```

---

AcPrThPt3 | PBE-GGA | optimized geometry

Computed properties:
As for the formation energy: -1.039 eV per atom. The space group is P2_1/m (11). The calculation puts the magnetic moment at 0.00 μB per formula unit.

The structure in POSCAR format:
```
AcPrThPt3
1.0
7.046 0.000 0.000
0.000 4.503 0.000
-0.047 0.000 10.568
Ac Pr Th Pt
2 2 2 6
direct
0.224 0.250 0.094
0.776 0.750 0.906
0.175 0.250 0.716
0.825 0.750 0.284
0.315 0.750 0.418
0.685 0.250 0.582
0.048 0.250 0.417
0.235 0.750 0.903
0.458 0.750 0.678
0.542 0.250 0.322
0.765 0.250 0.097
0.952 0.750 0.583
```

---

Dy3Hg2H | PBE-GGA | optimized geometry

Computed properties:
The space group is C2/c (15). As for the electronic total energy: -0.2480 Ry per atom. The calculation puts the magnetic moment at 0.00 μB per formula unit.

The structure in POSCAR format:
```
Dy3Hg2H
1.0
5.330 -3.537 0.000
5.330 3.537 0.000
-2.419 0.000 7.392
Dy Hg H
6 4 2
direct
0.100 0.900 0.750
0.286 0.442 0.038
0.442 0.286 0.538
0.558 0.714 0.462
0.714 0.558 0.962
0.900 0.100 0.250
0.019 0.630 0.353
0.370 0.981 0.147
0.630 0.019 0.853
0.981 0.370 0.647
0.410 0.590 0.750
0.590 0.410 0.250
```